w.
First-principles (PBE-GGA) data for a geometry-optimized AcBeCo structure, as listed in OQMD via LeMat-Bulk.

abc: 4.772 4.772 4.772
angles: 60.00 60.00 60.00
Fractional coordinates of all 3 atoms:
Ac: 0.000 0.000 0.000
Co: 0.750 0.750 0.750
Be: 0.250 0.250 0.250

x.
First-principles (PBE-GGA) data for a geometry-optimized AcBeCo structure, as listed in OQMD via LeMat-Bulk.

abc: 4.512 4.512 4.512
angles: 60.00 60.00 60.00
Site moments in Bohr magnetons follow the coordinates.
Fractional coordinates of all 3 atoms:
Ac: 0.250 0.250 0.250  -0.04
Co: 0.750 0.750 0.750  0.58
Be: 0.000 0.000 0.000  -0.03

Least stable structure among those shown: w.